Version A
The following is a DFT calculation (PBE) of an optimized crystal structure of PaPd2S4.

a = 6.2543 Å, b = 6.2543 Å, c = 11.6396 Å
α = 90.00°, β = 90.00°, γ = 144.32°
With the nearest neighbours (Å) after each atom.
Sites, in units of the cell vectors:
Pa  0.1212  0.8788  0.7500  6 S 2.70-2.73
Pa  0.8788  0.1212  0.2500  6 S 2.70-2.73
Pd  0.3706  0.6294  0.5701  4 S 2.35-2.59
Pd  0.3706  0.6294  0.9299  4 S 2.35-2.59
Pd  0.6294  0.3706  0.0701  4 S 2.35-2.59
Pd  0.6294  0.3706  0.4299  4 S 2.35-2.59
S  0.0000  0.0000  0.0000  4 Pd 2.59
S  0.0000  0.0000  0.5000  4 Pd 2.59
S  0.2812  0.7188  0.1159  3 Pd 2.41-2.69
S  0.2812  0.7188  0.3841  3 Pd 2.41-2.69
S  0.4609  0.5391  0.7500  2 Pd 2.35
S  0.5391  0.4609  0.2500  2 Pd 2.35
S  0.7188  0.2812  0.6159  3 Pd 2.41-2.69
S  0.7188  0.2812  0.8841  3 Pd 2.41-2.69

Calculated values
Space-group type   Cmcm
M_tot   0.00 μB/f.u.


Version B
The following is a DFT calculation (PBE) of an optimized crystal structure of PaPd2S4.

a = 6.9856 Å, b = 6.9856 Å, c = 6.9856 Å
α = 104.68°, β = 104.68°, γ = 119.56°
With the nearest neighbours (Å) after each atom.
Sites, in units of the cell vectors:
Pa  0.0000  0.0000  0.0000  8 S 2.68-2.93
Pa  0.7500  0.2500  0.5000  8 S 2.68-2.93
Pd  0.1649  0.1250  0.5399  6 S 2.50-2.63
Pd  0.3750  0.8351  0.9601  6 S 2.50-2.63
Pd  0.5851  0.6250  0.4601  6 S 2.50-2.63
Pd  0.8750  0.4149  0.0399  6 S 2.50-2.63
S  0.0461  0.7849  0.6560  3 Pd 2.50-2.63, 1 Pa 2.68
S  0.1289  0.3901  0.3440  3 Pd 2.50-2.63, 1 Pa 2.68
S  0.1401  0.3789  0.8440  3 Pd 2.50-2.63, 1 Pa 2.68
S  0.2151  0.8711  0.2612  3 Pd 2.50-2.63, 1 Pa 2.68
S  0.5349  0.2961  0.1560  3 Pd 2.50-2.63, 1 Pa 2.68
S  0.6099  0.9539  0.7388  3 Pd 2.50-2.63, 1 Pa 2.68
S  0.6211  0.4651  0.7612  3 Pd 2.50-2.63, 1 Pa 2.68
S  0.7039  0.8599  0.2388  3 Pd 2.50-2.63, 1 Pa 2.68

Calculated values
Space-group type   I-42d
M_tot   0.00 μB/f.u.


The data favor version B; the next most stable structure lies 86 meV/atom above it.


Version A
The following is a DFT calculation (PBE) of an optimized crystal structure of Pa3PdS6.

a = 8.3896 Å, b = 8.3896 Å, c = 6.3907 Å
α = 90.00°, β = 90.00°, γ = 100.54°
With the nearest neighbours (Å) after each atom.
Sites, in units of the cell vectors:
Pa  0.1071  0.8929  0.5000  7 S 2.72-2.84
Pa  0.2297  0.4321  0.5969  7 S 2.74-2.81
Pa  0.4321  0.2297  0.0969  7 S 2.74-2.81
Pa  0.5679  0.7703  0.5969  7 S 2.74-2.81
Pa  0.7703  0.5679  0.0969  7 S 2.74-2.81
Pa  0.8929  0.1071  0.0000  7 S 2.72-2.84
Pd  0.3032  0.6968  0.1864  4 S 2.41-2.61
Pd  0.6968  0.3032  0.6864  4 S 2.41-2.61
S  0.0434  0.5877  0.3405  1 Pd 2.41
S  0.1300  0.1981  0.2982  4 Pa 2.76-2.84
S  0.1981  0.1300  0.7982  4 Pa 2.76-2.84
S  0.2694  0.7306  0.7839  1 Pd 2.61, 3 Pa 2.74-2.77
S  0.4123  0.9566  0.3405  1 Pd 2.41
S  0.4786  0.5214  0.3167  1 Pd 2.41
S  0.5214  0.4786  0.8167  1 Pd 2.41
S  0.5877  0.0434  0.8405  1 Pd 2.41
S  0.7306  0.2694  0.2839  1 Pd 2.61, 3 Pa 2.74-2.77
S  0.8019  0.8700  0.2982  4 Pa 2.76-2.84
S  0.8700  0.8019  0.7982  4 Pa 2.76-2.84
S  0.9566  0.4123  0.8405  1 Pd 2.41

Calculated values
Space-group type   Cmc2_1
M_tot   2.00 μB/f.u.


Version B
The following is a DFT calculation (PBE) of an optimized crystal structure of Pa3PdS6.

a = 7.8513 Å, b = 7.8513 Å, c = 7.8513 Å
α = 89.42°, β = 89.42°, γ = 89.42°
With the nearest neighbours (Å) after each atom.
Sites, in units of the cell vectors:
Pa  0.0750  0.5827  0.2417  6 S 2.68-2.78
Pa  0.2417  0.0750  0.5827  6 S 2.68-2.78
Pa  0.4173  0.7583  0.9250  6 S 2.68-2.78
Pa  0.5827  0.2417  0.0750  6 S 2.68-2.78
Pa  0.7583  0.9250  0.4173  6 S 2.68-2.78
Pa  0.9250  0.4173  0.7583  6 S 2.68-2.78
Pd  0.0000  0.0000  0.0000  6 S 2.67
Pd  0.5000  0.5000  0.5000  6 S 2.58
S  0.0814  0.6852  0.9014  1 Pd 2.67, 3 Pa 2.71-2.78
S  0.0986  0.9186  0.3148  1 Pd 2.67, 3 Pa 2.71-2.78
S  0.1858  0.4082  0.5308  1 Pd 2.58, 3 Pa 2.68-2.78
S  0.3148  0.0986  0.9186  1 Pd 2.67, 3 Pa 2.71-2.78
S  0.4082  0.5308  0.1858  1 Pd 2.58, 3 Pa 2.68-2.78
S  0.4692  0.8142  0.5918  1 Pd 2.58, 3 Pa 2.68-2.78
S  0.5308  0.1858  0.4082  1 Pd 2.58, 3 Pa 2.68-2.78
S  0.5918  0.4692  0.8142  1 Pd 2.58, 3 Pa 2.68-2.78
S  0.6852  0.9014  0.0814  1 Pd 2.67, 3 Pa 2.71-2.78
S  0.8142  0.5918  0.4692  1 Pd 2.58, 3 Pa 2.68-2.78
S  0.9014  0.0814  0.6852  1 Pd 2.67, 3 Pa 2.71-2.78
S  0.9186  0.3148  0.0986  1 Pd 2.67, 3 Pa 2.71-2.78

Calculated values
Space-group type   R-3
M_tot   3.06 μB/f.u.


The data favor version A; the next most stable structure lies 182 meV/atom above it.


Version A
The following is a DFT calculation (PBE) of an optimized crystal structure of Pa2PdS6.

a = 6.3773 Å, b = 6.3773 Å, c = 11.1444 Å
α = 90.00°, β = 90.00°, γ = 90.00°
With the nearest neighbours (Å) after each atom.
Sites, in units of the cell vectors:
Pa  0.0000  0.0000  0.1753  6 S 2.57-2.78
Pa  0.0000  0.0000  0.8247  6 S 2.57-2.78
Pa  0.5000  0.5000  0.3247  6 S 2.57-2.78
Pa  0.5000  0.5000  0.6753  6 S 2.57-2.78
Pd  0.0000  0.0000  0.5000  4 S 2.42
Pd  0.5000  0.5000  0.0000  4 S 2.42
S  0.1856  0.1856  0.0000  2 Pa 2.57, 1 Pd 2.84
S  0.1936  0.1936  0.3498  1 Pd 2.42, 1 Pa 2.61
S  0.1936  0.1936  0.6502  1 Pd 2.42, 1 Pa 2.61
S  0.3064  0.6936  0.1502  1 Pd 2.42, 1 Pa 2.61
S  0.3064  0.6936  0.8498  1 Pd 2.42, 1 Pa 2.61
S  0.3144  0.6856  0.5000  2 Pa 2.57, 1 Pd 2.84
S  0.6856  0.3144  0.5000  2 Pa 2.57, 1 Pd 2.84
S  0.6936  0.3064  0.1502  1 Pd 2.42, 1 Pa 2.61
S  0.6936  0.3064  0.8498  1 Pd 2.42, 1 Pa 2.61
S  0.8064  0.8064  0.3498  1 Pd 2.42, 1 Pa 2.61
S  0.8064  0.8064  0.6502  1 Pd 2.42, 1 Pa 2.61
S  0.8144  0.8144  0.0000  2 Pa 2.57, 1 Pd 2.84

Calculated values
Space-group type   P4_2/mnm
M_tot   0.00 μB/f.u.


Version B
The following is a DFT calculation (PBE) of an optimized crystal structure of Pa2PdS6.

a = 6.3572 Å, b = 6.7168 Å, c = 10.4974 Å
α = 90.00°, β = 114.47°, γ = 90.00°
With the nearest neighbours (Å) after each atom.
Sites, in units of the cell vectors:
Pa  0.1826  0.1166  0.2202  7 S 2.60-2.87
Pa  0.1826  0.3834  0.7202  7 S 2.60-2.87
Pa  0.8174  0.6166  0.2798  7 S 2.60-2.87
Pa  0.8174  0.8834  0.7798  7 S 2.60-2.87
Pd  0.0000  0.0000  0.5000  4 S 2.36-2.38
Pd  0.0000  0.5000  0.0000  4 S 2.36-2.38
S  0.1231  0.1911  0.9423  1 Pd 2.38
S  0.1231  0.3089  0.4423  1 Pd 2.38
S  0.2179  0.6779  0.9022  1 Pd 2.36
S  0.2179  0.8221  0.4022  1 Pd 2.36
S  0.4571  0.0788  0.7696  2 Pa 2.60
S  0.4571  0.4212  0.2696  2 Pa 2.60
S  0.5429  0.5788  0.7304  2 Pa 2.60
S  0.5429  0.9212  0.2304  2 Pa 2.60
S  0.7821  0.1779  0.5978  1 Pd 2.36
S  0.7821  0.3221  0.0978  1 Pd 2.36
S  0.8769  0.6911  0.5577  1 Pd 2.38
S  0.8769  0.8089  0.0577  1 Pd 2.38

Calculated values
Space-group type   P2_1/c
M_tot   0.00 μB/f.u.


The data favor version B; the next most stable structure lies 74 meV/atom above it.


Version A
The following is a DFT calculation (PBE) of an optimized crystal structure of Pa2Pd2S7.

a = 8.6713 Å, b = 8.6713 Å, c = 8.6713 Å
α = 60.00°, β = 60.00°, γ = 60.00°
With the nearest neighbours (Å) after each atom.
Sites, in units of the cell vectors:
Pa  0.0000  0.0000  0.0000  8 S 2.66-2.84
Pa  0.0000  0.0000  0.5000  8 S 2.66-2.84
Pa  0.0000  0.5000  0.0000  8 S 2.66-2.84
Pa  0.5000  0.0000  0.0000  8 S 2.66-2.84
Pd  0.0000  0.5000  0.5000  6 S 2.49
Pd  0.5000  0.0000  0.5000  6 S 2.49
Pd  0.5000  0.5000  0.0000  6 S 2.49
Pd  0.5000  0.5000  0.5000  6 S 2.49
S  0.1250  0.1250  0.1250  4 Pa 2.66
S  0.1501  0.1501  0.5999  2 Pd 2.49
S  0.1501  0.5999  0.1501  2 Pd 2.49
S  0.1501  0.5999  0.5999  2 Pd 2.49
S  0.4001  0.4001  0.8499  2 Pd 2.49
S  0.4001  0.8499  0.4001  2 Pd 2.49
S  0.4001  0.8499  0.8499  2 Pd 2.49
S  0.5999  0.1501  0.1501  2 Pd 2.49
S  0.5999  0.1501  0.5999  2 Pd 2.49
S  0.5999  0.5999  0.1501  2 Pd 2.49
S  0.8499  0.4001  0.4001  2 Pd 2.49
S  0.8499  0.4001  0.8499  2 Pd 2.49
S  0.8499  0.8499  0.4001  2 Pd 2.49
S  0.8750  0.8750  0.8750  4 Pa 2.66

Calculated values
Space-group type   Fd-3m
M_tot   0.05 μB/f.u.


Version B
The following is a DFT calculation (PBE) of an optimized crystal structure of Pa2Pd2S7.

a = 6.9940 Å, b = 6.9940 Å, c = 6.7410 Å
α = 90.02°, β = 90.02°, γ = 117.17°
With the nearest neighbours (Å) after each atom.
Sites, in units of the cell vectors:
Pa  0.1714  0.8286  0.0000  6 S 2.65-2.66
Pa  0.8286  0.1714  0.0000  6 S 2.65-2.66
Pd  0.2438  0.2438  0.6905  4 S 2.27-2.46
Pd  0.7562  0.7562  0.3095  4 S 2.27-2.46
S  0.0863  0.0863  0.2356  1 Pd 2.46, 2 Pa 2.66
S  0.1033  0.4906  0.7772  1 Pd 2.42, 2 Pa 2.65
S  0.4906  0.1033  0.7772  1 Pd 2.42, 2 Pa 2.65
S  0.5000  0.5000  0.5000  2 Pd 2.27
S  0.5094  0.8967  0.2228  1 Pd 2.42, 2 Pa 2.65
S  0.8967  0.5094  0.2228  1 Pd 2.42, 2 Pa 2.65
S  0.9137  0.9137  0.7644  1 Pd 2.46, 2 Pa 2.66

Calculated values
Space-group type   C2/m
M_tot   1.62 μB/f.u.


The data favor version A; the next most stable structure lies 61 meV/atom above it.


Version A
The following is a DFT calculation (PBE) of an optimized crystal structure of Pa2SbPd.

a = 4.3907 Å, b = 4.3907 Å, c = 4.6615 Å
α = 90.00°, β = 90.00°, γ = 90.00°
With the nearest neighbours (Å) after each atom.
Sites, in units of the cell vectors:
Pa  0.0000  0.5000  0.0000  4 Pa 3.10, 4 Sb 3.20, 4 Pd 3.20
Pa  0.5000  0.0000  0.0000  4 Pa 3.10, 4 Sb 3.20, 4 Pd 3.20
Sb  0.0000  0.0000  0.5000  4 Pd 3.10, 8 Pa 3.20
Pd  0.5000  0.5000  0.5000  4 Sb 3.10, 8 Pa 3.20

Calculated values
Space-group type   P4/mmm
M_tot   0.35 μB/f.u.


Version B
The following is a DFT calculation (PBE) of an optimized crystal structure of Pa2SbPd.

a = 4.0674 Å, b = 4.0674 Å, c = 22.2747 Å
α = 90.00°, β = 90.00°, γ = 120.00°
With the nearest neighbours (Å) after each atom.
Sites, in units of the cell vectors:
Pa  0.0000  0.0000  0.2413  3 Pd 2.88, 3 Sb 3.12
Pa  0.0000  0.0000  0.7587  3 Pd 2.88, 3 Sb 3.12
Pa  0.3333  0.6667  0.4253  3 Pd 2.88, 3 Sb 3.12
Pa  0.3333  0.6667  0.9080  3 Pd 2.88, 3 Sb 3.12
Pa  0.6667  0.3333  0.0920  3 Pd 2.88, 3 Sb 3.12
Pa  0.6667  0.3333  0.5747  3 Pd 2.88, 3 Sb 3.12
Sb  0.0000  0.0000  0.0000  6 Pa 3.12
Sb  0.3333  0.6667  0.6667  6 Pa 3.12
Sb  0.6667  0.3333  0.3333  6 Pa 3.12
Pd  0.0000  0.0000  0.5000  6 Pa 2.88
Pd  0.3333  0.6667  0.1667  6 Pa 2.88
Pd  0.6667  0.3333  0.8333  6 Pa 2.88

Calculated values
Space-group type   R-3m
M_tot   0.41 μB/f.u.


The data favor version A; the next most stable structure lies 78 meV/atom above it.